# 1
Cu2Pd3Au8 after structural relaxation, computed with PBE-GGA.

Properties
ΔH_f (0 K)   219 meV/atom
Relative energy among the computed polymorphs   0.252 eV per atom
D(E_F)   6.53 states/eV per cell
Space group   No. 166

Cell: 5.375 5.375 10.171 Å, 74.68 74.68 60.00°
Element x y z (fractional)
Cu: 0.636 0.636 0.092
Cu: 0.364 0.364 0.908
Au: 0.270 0.270 0.689
Au: 0.771 0.270 0.689
Au: 0.229 0.730 0.311
Au: 0.280 0.280 0.161
Au: 0.720 0.720 0.839
Au: 0.270 0.771 0.689
Au: 0.730 0.229 0.311
Au: 0.730 0.730 0.311
Pd: 0.185 0.185 0.444
Pd: 0.815 0.815 0.556
Pd: 0.000 0.000 0.000

***

# 2
Tm6Ag5Bi after structural relaxation, computed with PBE-GGA.

Properties
ΔH_f (0 K)   -370 meV/atom
D(E_F)   6.92 states/eV per cell
Space group   No. 71

Cell: 5.142 7.226 8.937 Å, 113.85 106.72 90.00°
Element x y z (fractional)
Tm: 0.500 0.738 0.000
Tm: 0.829 0.573 0.657
Tm: 0.829 0.084 0.657
Tm: 0.171 0.427 0.343
Tm: 0.171 0.916 0.343
Tm: 0.500 0.262 0.000
Ag: 0.670 0.171 0.341
Ag: 0.330 0.829 0.659
Ag: 0.666 0.666 0.332
Ag: 0.334 0.334 0.668
Ag: 0.000 0.500 0.000
Bi: 0.000 0.000 0.000

***

# 3
BeTl2Se after structural relaxation, computed with PBE-GGA.

Properties
Relative energy among the computed polymorphs   0.170 eV per atom
D(E_F)   1.97 states/eV per cell
Space group   No. 44

Cell: 6.041 6.041 6.041 Å, 145.95 120.77 70.11°
Element x y z (fractional)
Tl: 0.303 0.803 0.500
Tl: 0.997 0.997 0.000
Se: 0.660 0.160 0.500
Be: 0.540 0.540 0.000

***

# 4
Ba4AlAu3 after structural relaxation, computed with PBE-GGA.

Properties
ΔH_f (0 K)   -560 meV/atom
D(E_F)   4.57 states/eV per cell
Space group   No. 25

Cell: 4.734 4.828 12.446 Å, 90.00 90.00 90.00°
Element x y z (fractional)
Ba: 0.000 0.000 0.145
Ba: 0.500 0.000 0.634
Ba: 0.500 0.500 0.364
Ba: 0.000 0.500 0.854
Au: 0.000 0.500 0.575
Au: 0.000 0.000 0.426
Au: 0.500 0.000 0.951
Al: 0.500 0.500 0.052

***

# 5
Tb2PmHo4Mg after structural relaxation, computed with PBE-GGA.

Properties
ΔH_f (0 K)   24 meV/atom
D(E_F)   11.65 states/eV per cell
Space group   No. 123

Cell: 4.943 4.952 11.200 Å, 63.76 90.00 90.00°
Element x y z (fractional)
Ho: 0.500 0.746 0.254
Ho: 0.000 0.754 0.746
Ho: 0.500 0.254 0.746
Ho: 0.000 0.246 0.254
Tb: 0.000 0.000 0.000
Tb: 0.500 0.000 0.500
Pm: 0.500 0.500 0.000
Mg: 0.000 0.500 0.500

***

# 6
Rb2TbCuBr6 after structural relaxation, computed with PBE-GGA.

Properties
VASP energy   -3.54 eV/atom
D(E_F)   0.00 states/eV per cell
Space group   No. 69

Cell: 7.696 7.697 7.857 Å, 60.56 60.56 89.85°
Element x y z (fractional)
Br: 0.752 0.752 0.496
Br: 0.743 0.742 0.000
Br: 0.248 0.248 0.504
Br: 0.741 0.258 0.000
Br: 0.259 0.742 0.000
Br: 0.257 0.258 0.000
Rb: 0.750 0.250 0.500
Rb: 0.250 0.750 0.500
Tb: 0.000 0.000 0.000
Cu: 0.500 0.500 0.000

***

# 7
Sm2ZnPd3 after structural relaxation, computed with PBE-GGA.

Properties
ΔH_f (0 K)   -781 meV/atom
Relative energy among the computed polymorphs   0.000 eV per atom
D(E_F)   7.27 states/eV per cell
Space group   No. 62

Cell: 3.929 7.223 17.373 Å, 90.00 90.00 90.00°
Element x y z (fractional)
Pd: 0.750 0.751 0.447
Pd: 0.750 0.408 0.654
Pd: 0.250 0.092 0.154
Pd: 0.250 0.749 0.947
Pd: 0.250 0.701 0.186
Pd: 0.750 0.299 0.814
Pd: 0.750 0.799 0.686
Pd: 0.750 0.251 0.053
Pd: 0.250 0.201 0.314
Pd: 0.250 0.592 0.346
Pd: 0.250 0.249 0.553
Pd: 0.750 0.908 0.846
Zn: 0.250 0.488 0.060
Zn: 0.750 0.012 0.560
Zn: 0.750 0.512 0.940
Zn: 0.250 0.988 0.440
Sm: 0.750 0.895 0.290
Sm: 0.250 0.659 0.569
Sm: 0.250 0.605 0.790
Sm: 0.750 0.841 0.069
Sm: 0.250 0.159 0.931
Sm: 0.750 0.395 0.210
Sm: 0.250 0.105 0.710
Sm: 0.750 0.341 0.431

***

# 8
Mg2Sc5GaPd2 after structural relaxation, computed with PBE-GGA.

Properties
ΔH_f (0 K)   -490 meV/atom
D(E_F)   19.71 states/eV per cell
Space group   No. 127

Cell: 3.368 11.307 11.307 Å, 90.00 90.00 90.00°
Element x y z (fractional)
Ga: 0.000 0.500 0.500
Ga: 0.000 0.000 0.000
Sc: 0.500 0.196 0.065
Sc: 0.500 0.065 0.804
Sc: 0.500 0.000 0.500
Sc: 0.500 0.696 0.435
Sc: 0.500 0.565 0.696
Sc: 0.500 0.804 0.935
Sc: 0.500 0.304 0.565
Sc: 0.500 0.500 0.000
Sc: 0.500 0.435 0.304
Sc: 0.500 0.935 0.196
Mg: 0.000 0.324 0.824
Mg: 0.000 0.824 0.676
Mg: 0.000 0.176 0.324
Mg: 0.000 0.676 0.176
Pd: 0.000 0.631 0.869
Pd: 0.000 0.131 0.631
Pd: 0.000 0.869 0.369
Pd: 0.000 0.369 0.131

***

# 9
VAg2Br8 after structural relaxation, computed with PBE-GGA.

Properties
VASP energy   -2.93 eV/atom
D(E_F)   9.63 states/eV per cell
Space group   No. 12

Cell: 6.024 8.107 8.880 Å, 96.95 90.00 111.81°
Last column: magnetic moment on the atom in μB.
Element x y z (fractional)
Br: 0.003 0.007 0.288  -0.02
Br: 0.384 0.247 0.018  -0.08
Br: 0.997 0.993 0.712  -0.02
Br: 0.137 0.753 0.982  -0.08
Br: 0.863 0.247 0.018  -0.08
Br: 0.324 0.648 0.558  -0.02
Br: 0.676 0.352 0.442  -0.02
Br: 0.616 0.753 0.982  -0.08
V: 0.000 0.000 0.000  0.91
Ag: 0.164 0.328 0.426  -0.01
Ag: 0.836 0.672 0.574  -0.01

***

# 10
SrMo2Os after structural relaxation, computed with PBE-GGA.

Properties
ΔH_f (0 K)   715 meV/atom
Relative energy among the computed polymorphs   0.092 eV per atom
D(E_F)   3.90 states/eV per cell
Space group   No. 8

Cell: 5.071 5.071 5.986 Å, 75.86 75.86 35.58°
Element x y z (fractional)
Sr: 0.241 0.241 0.260
Os: 0.470 0.470 0.601
Mo: 0.751 0.751 0.744
Mo: 0.038 0.038 0.895

***

# 11
InAgPd3 after structural relaxation, computed with PBE-GGA.

Properties
ΔH_f (0 K)   109 meV/atom
Relative energy among the computed polymorphs   0.426 eV per atom
D(E_F)   2.29 states/eV per cell
Space group   No. 194

Cell: 4.962 6.738 6.738 Å, 120.00 90.00 90.00°
Element x y z (fractional)
Pd: 0.250 0.798 0.202
Pd: 0.250 0.405 0.202
Pd: 0.750 0.595 0.798
Pd: 0.250 0.798 0.595
Pd: 0.750 0.202 0.405
Pd: 0.750 0.202 0.798
Ag: 0.500 0.000 0.000
Ag: 0.000 0.000 0.000
In: 0.750 0.666 0.334
In: 0.250 0.334 0.666

***

# 12
Mn3TlAu after structural relaxation, computed with PBE-GGA.

Properties
ΔH_f (0 K)   810 meV/atom
Relative energy among the computed polymorphs   0.000 eV per atom
D(E_F)   5.64 states/eV per cell
Space group   No. 221

Cell: 4.998 4.998 4.998 Å, 90.00 90.00 90.00°
Last column: magnetic moment on the atom in μB.
Element x y z (fractional)
Mn: 0.000 0.000 0.500  4.21
Mn: 0.500 0.000 0.000  4.00
Mn: 0.000 0.500 0.000  4.09
Au: 0.000 0.000 0.000  0.11
Tl: 0.500 0.500 0.500  -0.03

***

Question: What is the D(E_F) in the seventh record?
Answer: 7.27 states/eV per cell

***

Repeat the fourth record exactly.
Ba4AlAu3 after structural relaxation, computed with PBE-GGA.

Properties
ΔH_f (0 K)   -560 meV/atom
D(E_F)   4.57 states/eV per cell
Space group   No. 25

Cell: 4.734 4.828 12.446 Å, 90.00 90.00 90.00°
Element x y z (fractional)
Ba: 0.000 0.000 0.145
Ba: 0.500 0.000 0.634
Ba: 0.500 0.500 0.364
Ba: 0.000 0.500 0.854
Au: 0.000 0.500 0.575
Au: 0.000 0.000 0.426
Au: 0.500 0.000 0.951
Al: 0.500 0.500 0.052